First-principles (PBE+U) data for a geometry-optimized ScAgMo2O8 structure, as listed in Alexandria.

Cell: 5.9065 5.9065 6.5229 Å, 90.00 90.00 120.00°
Space group P-3m1 (No. 164)
Symmetry-distinct sites (fractional):
1 Sc 0.0000 0.0000 0.0000 x1
2 Ag 0.0000 0.0000 0.5000 x1
3 Mo 0.3333 0.6667 0.2821 x2
4 O 0.1643 0.3286 0.1952 x6
5 O 0.3333 0.6667 0.5487 x2

Computed properties:
E: -0.2596 Ha/atom